The following is a DFT calculation (meta-GGA SCAN) of GeNO2F at its PBEsol-relaxed geometry.

Structure (POSCAR):
```
GeNO2F
1.0
3.7076 0.0000 0.0000
0.0000 3.7076 0.0000
0.0000 0.0000 3.8601
Ge N O F
1 1 2 1
direct
0.0000 0.0000 0.0000 Ge
0.0000 0.0000 0.5000 N
0.0000 0.5000 0.0000 O
0.5000 0.0000 0.0000 O
0.5000 0.5000 0.5000 F
```

Summary:
As for the total energy: -8.649 eV per atom. As for the symmetry: P4/mmm (123). The value obtained for the formation energy (no corrections) is 0.2276 eV per atom.

---

The following is a DFT calculation (meta-GGA SCAN) of TlSbTe2Br at its PBEsol-relaxed geometry.

Structure (POSCAR):
```
TlSbTe2Br
1.0
-2.8162 -4.7675 0.7914
4.6349 -2.4050 2.0050
-1.4099 1.7154 5.3169
Sb Tl Te Br
1 1 2 1
direct
0.0000 0.0000 0.5000 Sb
0.0000 0.0000 0.0000 Tl
0.0000 0.5000 0.0000 Te
0.5000 0.0000 0.0000 Te
0.5000 0.5000 0.5000 Br
```

Summary:
As for the total energy: -40.005 eV per atom. As for the symmetry: P4/mmm (123). The value obtained for the formation energy (no corrections) is 0.7115 eV per atom.

---

The following is a DFT calculation (meta-GGA SCAN) of La3Ta at its PBEsol-relaxed geometry.

Structure (POSCAR):
```
La3Ta
1.0
3.3197 0.0000 0.0000
0.0000 5.8178 0.0000
-1.6599 -2.9089 5.8951
La Ta
3 1
direct
0.2822 0.3163 0.5644 La
0.7178 0.7519 0.4356 La
0.5000 0.1152 0.0000 La
0.0000 0.6499 0.0000 Ta
```

Summary:
The energy of formation from the pure elements comes out at 0.457 eV/atom. As for the total energy: -48.518 eV per atom. As for the symmetry: Imm2 (44).

---

The following is a DFT calculation (meta-GGA SCAN) of MgBiMoO5 at its PBEsol-relaxed geometry.

Structure (POSCAR):
```
MgBiMoO5
1.0
5.3490 0.0318 0.0000
-1.9851 7.3968 0.0000
0.0000 0.0000 11.8500
Mg Bi Mo O
4 4 4 20
direct
0.6063 0.1708 0.9208 Mg
0.3937 0.8292 0.0792 Mg
0.8937 0.3292 0.4208 Mg
0.1063 0.6708 0.5792 Mg
0.0945 0.1641 0.1039 Bi
0.9055 0.8359 0.8961 Bi
0.5945 0.6641 0.3961 Bi
0.4055 0.3359 0.6039 Bi
0.7625 0.9777 0.6405 Mo
0.2375 0.0223 0.3595 Mo
0.7375 0.5223 0.1405 Mo
0.2625 0.4777 0.8595 Mo
0.5543 0.3269 0.0651 O
0.9860 0.3380 0.9253 O
0.5211 0.6580 0.1862 O
0.7537 0.5124 0.5258 O
0.7893 0.4780 0.2913 O
0.2893 0.9780 0.2087 O
0.4860 0.8380 0.5747 O
0.5140 0.1620 0.4253 O
0.2463 0.4876 0.4742 O
0.9457 0.1731 0.5651 O
0.2107 0.5220 0.7087 O
0.4457 0.6731 0.9349 O
0.0543 0.8269 0.4349 O
0.7107 0.0220 0.7913 O
0.7463 0.9876 0.0258 O
0.2537 0.0124 0.9742 O
0.4789 0.3420 0.8138 O
0.0140 0.6620 0.0747 O
0.9789 0.8420 0.6862 O
0.0211 0.1580 0.3138 O
```

Summary:
As for the total energy: -20.692 eV per atom. As for the symmetry: P2_1/c (14). The value obtained for the formation energy (no corrections) is -1.9930 eV per atom.